(1)
Below is crystalline BeTl5 at its relaxed geometry, with properties calculated at the PBE-GGA level.

Lattice parameters (Å, degrees): 6.175 6.175 6.041 90.00 90.00 120.00
Fractional coordinates of all 6 atoms:
1 Tl 0.000 0.500 0.500
2 Tl 0.500 0.500 0.500
3 Tl 0.667 0.333 0.000
4 Tl 0.500 0.000 0.500
5 Tl 0.333 0.667 0.000
6 Be 0.000 0.000 0.000

Summary:
The calculation puts the calculated density at 8.58 g cm⁻³. The formation enthalpy at 0 K comes out at 3.7 eV per formula unit. The crystal system is hexagonal.

***

(2)
Below is crystalline Rb3Cu2PdCl6 at its relaxed geometry, with properties calculated at the PBE-GGA level.

Lattice parameters (Å, degrees): 7.440 7.440 8.410 90.00 90.00 120.00
Last column: magnetic moment on the atom in μB.
Fractional coordinates of all 12 atoms:
1 Pd 0.000 0.000 0.500  0.67
2 Rb 0.333 0.667 0.665  0.00
3 Rb 0.000 0.000 0.000  0.00
4 Rb 0.667 0.333 0.335  0.00
5 Cu 0.667 0.333 0.729  0.06
6 Cu 0.333 0.667 0.271  0.06
7 Cl 0.324 0.162 0.704  0.03
8 Cl 0.838 0.676 0.704  0.03
9 Cl 0.162 0.838 0.296  0.03
10 Cl 0.162 0.324 0.296  0.03
11 Cl 0.676 0.838 0.296  0.03
12 Cl 0.838 0.162 0.704  0.03

Summary:
The calculation puts the calculated density at 2.89 g cm⁻³. For the formation energy without anion corrections, the calculation gives -1.042 eV/atom. The crystal system is trigonal.

***

(3)
Below is crystalline Th4AlIn3 at its relaxed geometry, with properties calculated at the PBE-GGA level.

Lattice parameters (Å, degrees): 3.490 3.490 18.293 90.00 90.00 90.00
Fractional coordinates of all 8 atoms:
1 Al 0.500 0.500 0.000
2 In 0.500 0.500 0.500
3 In 0.500 0.500 0.245
4 In 0.500 0.500 0.755
5 Th 0.000 0.000 0.628
6 Th 0.000 0.000 0.885
7 Th 0.000 0.000 0.372
8 Th 0.000 0.000 0.115

Summary:
The calculation puts the calculated density at 9.68 g cm⁻³. The formation enthalpy at 0 K comes out at -2.2 eV per formula unit. The crystal system is tetragonal.

***

(4)
Below is crystalline Ac8Os3SeBr4 at its relaxed geometry, with properties calculated at the PBE-GGA level.

Lattice parameters (Å, degrees): 8.875 9.611 8.875 117.52 120.00 90.00
Fractional coordinates of all 16 atoms:
1 Os 0.500 0.500 0.000
2 Os 0.500 0.500 0.500
3 Os 0.000 0.500 0.500
4 Ac 0.267 0.301 0.534
5 Ac 0.757 0.305 0.047
6 Ac 0.733 0.699 0.466
7 Ac 0.243 0.695 0.485
8 Ac 0.757 0.305 0.515
9 Ac 0.710 0.695 0.953
10 Ac 0.243 0.695 0.953
11 Ac 0.290 0.305 0.047
12 Br 0.500 0.000 0.000
13 Br 0.000 0.000 0.000
14 Br 0.000 0.000 0.500
15 Br 0.500 0.000 0.500
16 Se 0.000 0.500 0.000

Summary:
The calculation puts the calculated density at 8.34 g cm⁻³. For the formation energy without anion corrections, the calculation gives -0.939 eV/atom. The crystal system is trigonal.